KAgRh2 | GGA-PBE | relaxed

Computed properties:
**Energy of formation**: 0.377 eV per atom

```
4
Lattice="-2.717 1.348 -0.314 -1.384 -2.609 0.757 0.186 2.301 8.271" Properties=species:S:1:pos:R:3 pbc="T T T"
Ag 0.082 1.020 3.667
Rh 0.012 0.145 0.521
Rh -2.008 -0.105 2.109
K -1.908 1.131 6.553
```

***

K2AgRh | GGA-PBE | relaxed

Computed properties:
**Energy of formation**: 0.571 eV per atom

```
4
Lattice="5.138 0.000 0.000 0.000 3.079 -0.080 0.000 3.028 6.237" Properties=species:S:1:pos:R:3 pbc="T T T"
K 0.000 3.043 3.018
K 0.000 3.091 -0.019
Rh 2.569 1.527 1.539
Ag 2.569 4.581 4.618
```

***

KAgRh2 | GGA-PBE | relaxed

Computed properties:
**Energy of formation**: 0.774 eV per atom

```
8
Lattice="-1.603 -0.855 -4.025 -0.306 -4.283 1.032 -10.180 -1.101 1.865" Properties=species:S:1:pos:R:3 pbc="T T T"
K -0.954 -2.569 -1.497
K -5.720 -3.977 0.700
Rh -8.310 -2.175 0.137
Rh -9.041 -1.616 -2.113
Rh -4.323 -3.799 -2.874
Rh -3.801 -1.460 -2.463
Ag -6.369 -2.263 -1.828
Ag 0.000 0.000 0.000
```

***

KAgRh2 | GGA-PBE | relaxed

Computed properties:
**Energy of formation**: 0.932 eV per atom

```
4
Lattice="0.000 3.348 3.348 3.348 0.000 3.348 3.348 3.348 0.000" Properties=species:S:1:pos:R:3 pbc="T T T"
Rh 5.021 5.021 5.021
Rh 1.674 1.674 1.674
Ag 3.348 3.348 3.348
K 0.000 0.000 0.000
```

***

K2AgRh | GGA-PBE | relaxed

Computed properties:
**Energy of formation**: 0.540 eV per atom

```
4
Lattice="-2.836 4.365 0.329 -0.409 0.113 -5.199 -1.462 -4.259 2.634" Properties=species:S:1:pos:R:3 pbc="T T T"
Rh -1.622 2.239 -2.435
Ag -2.961 1.173 0.264
K 0.000 0.000 0.000
K -1.747 -0.953 -2.500
```

***

K2AgRh | GGA-PBE | relaxed

Computed properties:
**Energy of formation**: 0.560 eV per atom

```
4
Lattice="-2.292 1.328 -1.698 -1.346 -2.822 -0.350 -5.451 1.538 8.563" Properties=species:S:1:pos:R:3 pbc="T T T"
K -2.634 0.743 4.138
K -0.091 0.026 0.143
Rh -3.182 -0.362 1.117
Ag -5.907 0.407 5.398
```